No. 1
PBE-GGA Nd3Sm4Er, optimized geometry; VASP energy = -4.689 eV/atom; SG = Pmn2_1, No. 31; energy of formation = 0.03 eV/atom; E above lowest polymorph = 0 kJ/mol of formula units
1.0
-3.917 5.009 -0.187
-4.970 -4.023 -3.650
-4.758 -3.342 10.162
Sm Nd Er
8 6 2
direct
0.481 0.875 0.253
0.981 0.125 0.247
0.981 0.125 0.753
0.647 0.124 0.000
0.481 0.875 0.747
0.147 0.876 0.500
0.650 0.125 0.500
0.150 0.875 0.000
0.481 0.376 0.750
0.148 0.374 0.500
0.648 0.626 0.000
0.981 0.624 0.250
0.481 0.376 0.250
0.981 0.624 0.750
0.647 0.626 0.500
0.147 0.374 0.000

No. 2
PBE-GGA MnBr2Cl, optimized geometry; VASP energy = -3.925 eV/atom; SG = R-3m, No. 166; E above lowest polymorph = 148 kJ/mol of formula units
1.0
2.238 0.000 8.784
-1.119 1.938 8.784
-1.119 -1.938 8.784
Br Mn Cl
2 1 1
direct
0.890 0.890 0.890
0.110 0.110 0.110
0.500 0.500 0.500
0.000 0.000 0.000

No. 3
PBE-GGA CaMg2ZrCd, optimized geometry; VASP energy = -1.807 eV/atom; SG = P4/mmm, No. 123; energy of formation = 1.12 eV/atom
1.0
-5.037 -1.488 0.350
0.475 -2.671 -4.518
1.453 -4.286 2.687
Ca Cd Mg Zr
1 1 2 1
direct
0.000 0.000 0.000
0.000 0.500 0.000
0.500 0.000 0.000
0.000 0.000 0.500
0.500 0.500 0.500

In order of appearance, D(E_F) = 1.75 0.55 0.43 states/eV/atom.